Material: PmGa2Pd
Method: DFT, PBE
State: optimized geometry

The value obtained for the total energy is -4.577 eV per atom. For the density of states at the Fermi level, the calculation gives 0.739 states/eV/atom.

abc: 4.773 4.773 4.773
angles: 60.00 60.00 60.00
Sites, in units of the cell vectors:
Pd 0.500 0.500 0.500
Pm 0.000 0.000 0.000
Ga 0.750 0.750 0.750
Ga 0.250 0.250 0.250

***

Material: BeIr2
Method: DFT, PBE
State: optimized geometry

The value obtained for the total energy is -7.396 eV per atom. For the density of states at the Fermi level, the calculation gives 0.796 states/eV/atom.

abc: 3.899 5.191 7.397
angles: 90.00 90.00 90.00
Sites, in units of the cell vectors:
Ir 0.750 0.481 0.287
Ir 0.250 0.519 0.713
Ir 0.750 0.330 0.939
Ir 0.250 0.019 0.787
Ir 0.250 0.170 0.439
Be 0.250 0.189 0.100
Ir 0.750 0.830 0.561
Ir 0.750 0.981 0.213
Be 0.250 0.689 0.400
Be 0.750 0.811 0.900
Be 0.750 0.311 0.600
Ir 0.250 0.670 0.061

***

Material: NpTlPdI6
Method: DFT, PBE
State: optimized geometry

The value obtained for the total energy is -3.855 eV per atom. For the density of states at the Fermi level, the calculation gives 0.893 states/eV/atom.

abc: 7.571 7.571 15.665
angles: 90.00 90.00 120.00
Sites, in units of the cell vectors:
I 0.013 0.368 0.639
Tl 0.000 0.000 0.500
I 0.355 0.987 0.639
I 0.632 0.987 0.861
I 0.987 0.355 0.139
I 0.355 0.368 0.861
Np 0.333 0.667 0.250
I 0.632 0.645 0.639
I 0.645 0.632 0.139
Pd 0.667 0.333 0.250
I 0.368 0.355 0.361
I 0.368 0.013 0.139
Np 0.667 0.333 0.750
I 0.987 0.632 0.361
Pd 0.333 0.667 0.750
I 0.013 0.645 0.861
Tl 0.000 0.000 0.000
I 0.645 0.013 0.361

***

Material: CdIn2Ga
Method: DFT, PBE
State: optimized geometry

The value obtained for the total energy is -2.243 eV per atom. For the density of states at the Fermi level, the calculation gives 0.528 states/eV/atom.

abc: 4.561 4.561 10.344
angles: 77.26 77.26 90.00
Sites, in units of the cell vectors:
In 0.375 0.381 0.750
In 0.619 0.125 0.250
Cd 0.000 0.000 0.000
In 0.875 0.869 0.750
Ga 0.500 0.500 0.000
In 0.131 0.625 0.250
Cd 0.750 0.250 0.500
Ga 0.250 0.750 0.500

***

Material: Pm2ThN
Method: DFT, PBE
State: optimized geometry

The value obtained for the total energy is -6.863 eV per atom. For the density of states at the Fermi level, the calculation gives 0.809 states/eV/atom.

abc: 3.513 3.513 10.118
angles: 80.00 80.00 60.00
Sites, in units of the cell vectors:
Th 0.000 0.000 0.000
Pm 0.120 0.120 0.641
N 0.500 0.500 0.500
Pm 0.880 0.880 0.359

***

Material: BaP2BrO
Method: DFT, PBE
State: optimized geometry

The value obtained for the total energy is -3.158 eV per atom. For the density of states at the Fermi level, the calculation gives 1.281 states/eV/atom.

abc: 6.680 6.680 4.510
angles: 90.00 90.00 90.00
Sites, in units of the cell vectors:
O 0.000 0.000 0.500
P 0.000 0.500 0.000
P 0.500 0.000 0.000
Ba 0.000 0.000 0.000
Br 0.500 0.500 0.500